Here is K5Ba after structural relaxation from Alexandria. Energies are from GGA-PBE. Values from VASP.

Quantum ESPRESSO input file:
```
&SYSTEM
  ibrav = 0, nat = 6, ntyp = 2
/
ATOMIC_SPECIES
Ba 137.33 Ba.upf
K 39.10 K.upf
CELL_PARAMETERS angstrom
-1.2221 8.4135 2.7700
-4.4867 6.0541 4.8136
5.6376 0.6077 9.7072
ATOMIC_POSITIONS crystal
Ba 0.0004 0.0004 0.0039
K 0.6619 0.6619 0.6717
K 0.3317 0.3317 0.3356
K 0.3896 0.3896 0.7216
K 0.0555 0.0555 0.3826
K 0.7276 0.7276 0.0512
```

Results
* excess energy over the best structure of this formula in the dataset: 0.025 eV/atom
* formation energy from the elements: 0.06 eV/atom
* crystal system: monoclinic
* total energy: -7.065 eV/cell
* calculated density: 1.30 g/cm3

=====

Here is NaTl3 after structural relaxation from Alexandria. Energies are from GGA-PBE. Values from VASP.

Quantum ESPRESSO input file:
```
&SYSTEM
  ibrav = 0, nat = 8, ntyp = 2
/
ATOMIC_SPECIES
Na 22.99 Na.upf
Tl 204.38 Tl.upf
CELL_PARAMETERS angstrom
-4.4157 2.8711 -2.2683
-3.0229 -5.9350 -1.6277
-4.2504 -3.0187 4.4533
ATOMIC_POSITIONS crystal
Na 0.7500 0.6667 0.6667
Na 0.2500 0.3333 0.3333
Tl 0.2500 0.8346 0.3308
Tl 0.2500 0.8346 0.8346
Tl 0.2500 0.3308 0.8346
Tl 0.7500 0.1654 0.6692
Tl 0.7500 0.1654 0.1654
Tl 0.7500 0.6692 0.1654
```

Results
* formation energy from the elements: -0.07 eV/atom
* crystal system: hexagonal
* total energy: -17.394 eV/cell
* calculated density: 9.05 g/cm3

=====

Here is PaHgF2 after structural relaxation from Alexandria. Energies are from GGA-PBE. Values from VASP.

Quantum ESPRESSO input file:
```
&SYSTEM
  ibrav = 0, nat = 4, ntyp = 3
/
ATOMIC_SPECIES
Pa 231.04 Pa.upf
Hg 200.59 Hg.upf
F 19.00 F.upf
CELL_PARAMETERS angstrom
3.2199 0.0000 0.0000
1.6099 2.7885 0.0000
1.6099 0.9295 9.9299
ATOMIC_POSITIONS crystal
Pa 0.0000 0.0000 0.0000
Hg 0.5000 0.5000 0.5000
F 0.7210 0.7210 0.8369
F 0.2790 0.2790 0.1631
```

Results
* crystal system: trigonal
* formation energy from raw total energies: -2.041 eV per atom
* total energy: -21.703 eV/cell
* calculated density: 8.75 g/cm3

=====

Here is Zr5HgOs4 after structural relaxation from Alexandria. Energies are from GGA-PBE. Values from VASP.

Quantum ESPRESSO input file:
```
&SYSTEM
  ibrav = 0, nat = 10, ntyp = 3
/
ATOMIC_SPECIES
Zr 91.22 Zr.upf
Hg 200.59 Hg.upf
Os 190.23 Os.upf
CELL_PARAMETERS angstrom
3.2657 0.0000 0.0000
0.0000 3.2657 0.0000
0.0000 0.0000 17.4260
ATOMIC_POSITIONS crystal
Zr 0.5000 0.5000 0.1198
Zr 0.5000 0.5000 0.3097
Zr 0.5000 0.5000 0.5000
Zr 0.5000 0.5000 0.6903
Zr 0.5000 0.5000 0.8802
Hg 0.0000 0.0000 0.0000
Os 0.0000 0.0000 0.2143
Os 0.0000 0.0000 0.4051
Os 0.0000 0.0000 0.5949
Os 0.0000 0.0000 0.7857
```

Results
* formation energy from the elements: -0.45 eV/atom
* crystal system: tetragonal
* total energy: -92.422 eV/cell
* calculated density: 12.67 g/cm3

=====

Here is Ni3PdC after structural relaxation from Alexandria. Energies are from GGA-PBE. Values from VASP.

Quantum ESPRESSO input file:
```
&SYSTEM
  ibrav = 0, nat = 5, ntyp = 3
/
ATOMIC_SPECIES
Ni 58.69 Ni.upf
C 12.01 C.upf
Pd 106.42 Pd.upf
CELL_PARAMETERS angstrom
4.5168 0.0000 0.0000
0.0000 4.5168 0.0000
0.0000 0.0000 4.5168
ATOMIC_POSITIONS crystal
Ni 0.0000 0.5000 0.0000
Ni 0.0000 0.0000 0.5000
Ni 0.5000 0.0000 0.0000
C 0.5000 0.5000 0.5000
Pd 0.0000 0.0000 0.0000
```

Results
* excess energy over the best structure of this formula in the dataset: 2.398 eV/atom
* formation energy from the elements: 2.53 eV/atom
* crystal system: cubic
* total energy: -19.109 eV/cell
* calculated density: 5.31 g/cm3

=====

Here is ScOsRu2 after structural relaxation from Alexandria. Energies are from GGA-PBE. Values from VASP.

Quantum ESPRESSO input file:
```
&SYSTEM
  ibrav = 0, nat = 4, ntyp = 3
/
ATOMIC_SPECIES
Os 190.23 Os.upf
Ru 101.07 Ru.upf
Sc 44.96 Sc.upf
CELL_PARAMETERS angstrom
2.8108 0.0000 0.0000
0.0000 2.8108 0.0000
0.0000 0.0000 7.8380
ATOMIC_POSITIONS crystal
Os 0.5000 0.5000 0.7732
Ru 0.0000 0.0000 0.9981
Ru 0.5000 0.5000 0.2294
Sc 0.0000 0.0000 0.4993
```

Results
* excess energy over the best structure of this formula in the dataset: 0.065 eV/atom
* formation energy from the elements: 0.00 eV/atom
* crystal system: tetragonal
* total energy: -36.120 eV/cell
* calculated density: 11.73 g/cm3

=====

Here is Hf2RuW after structural relaxation from Alexandria. Energies are from GGA-PBE. Values from VASP.

Quantum ESPRESSO input file:
```
&SYSTEM
  ibrav = 0, nat = 4, ntyp = 3
/
ATOMIC_SPECIES
Ru 101.07 Ru.upf
Hf 178.49 Hf.upf
W 183.84 W.upf
CELL_PARAMETERS angstrom
-0.8826 0.4457 3.1115
-2.8287 -1.5219 -0.5844
2.8038 -5.8382 1.6316
ATOMIC_POSITIONS crystal
Ru 0.5000 0.5000 0.0000
Hf 0.0000 0.0000 0.7572
Hf 0.0000 0.0000 0.2428
W 0.5000 0.5000 0.5000
```

Results
* formation energy from the elements: -0.33 eV/atom
* crystal system: tetragonal
* total energy: -43.457 eV/cell
* calculated density: 14.97 g/cm3

=====

Here is TbErLuTh after structural relaxation from Alexandria. Energies are from GGA-PBE. Values from VASP.

Quantum ESPRESSO input file:
```
&SYSTEM
  ibrav = 0, nat = 4, ntyp = 4
/
ATOMIC_SPECIES
Lu 174.97 Lu.upf
Tb 158.93 Tb.upf
Th 232.04 Th.upf
Er 167.26 Er.upf
CELL_PARAMETERS angstrom
5.6214 0.0000 0.0000
2.8107 4.8683 0.0000
2.8107 1.6228 4.5898
ATOMIC_POSITIONS crystal
Lu 0.7500 0.7500 0.7500
Tb 0.5000 0.5000 0.5000
Th 0.0000 0.0000 0.0000
Er 0.2500 0.2500 0.2500
```

Results
* formation energy from the elements: 0.12 eV/atom
* crystal system: cubic
* total energy: -20.655 eV/cell
* calculated density: 9.69 g/cm3

=====

Here is SbMoSe after structural relaxation from Alexandria. Energies are from GGA-PBE. Values from VASP.

Quantum ESPRESSO input file:
```
&SYSTEM
  ibrav = 0, nat = 3, ntyp = 3
/
ATOMIC_SPECIES
Mo 95.94 Mo.upf
Sb 121.76 Sb.upf
Se 78.96 Se.upf
CELL_PARAMETERS angstrom
-2.6223 -1.7813 0.8657
2.2933 0.7409 2.2341
-3.8801 6.5862 1.7986
ATOMIC_POSITIONS crystal
Mo 0.0000 0.0000 0.9790
Sb 0.6667 0.3333 0.2526
Se 0.3333 0.6667 0.7684
```

Results
* excess energy over the best structure of this formula in the dataset: 0.009 eV/atom
* crystal system: trigonal
* formation energy from raw total energies: -0.172 eV per atom
* total energy: -18.953 eV/cell
* calculated density: 6.71 g/cm3

=====

Here is ScMnSnRh2 after structural relaxation from Alexandria. Energies are from GGA-PBE. Values from VASP.

Quantum ESPRESSO input file:
```
&SYSTEM
  ibrav = 0, nat = 5, ntyp = 4
/
ATOMIC_SPECIES
Sc 44.96 Sc.upf
Mn 54.94 Mn.upf
Rh 102.91 Rh.upf
Sn 118.71 Sn.upf
CELL_PARAMETERS angstrom
4.5603 0.0000 0.0000
0.0000 5.2685 0.0000
0.0000 0.0000 4.5603
ATOMIC_POSITIONS crystal
Sc 0.0000 0.0000 0.0000
Mn 0.5000 0.5000 0.5000
Rh 0.0000 0.0000 0.5000
Rh 0.5000 0.0000 0.0000
Sn 0.0000 0.5000 0.0000
```

Results
* formation energy from the elements: 1.29 eV/atom
* crystal system: tetragonal
* total energy: -27.734 eV/cell
* calculated density: 6.43 g/cm3

=====

Here is ScAlTl2Hg after structural relaxation from Alexandria. Energies are from GGA-PBE. Values from VASP.

Quantum ESPRESSO input file:
```
&SYSTEM
  ibrav = 0, nat = 5, ntyp = 4
/
ATOMIC_SPECIES
Sc 44.96 Sc.upf
Tl 204.38 Tl.upf
Hg 200.59 Hg.upf
Al 26.98 Al.upf
CELL_PARAMETERS angstrom
-3.2058 4.0974 1.0254
-3.4641 -3.1763 1.8621
2.1535 0.4782 4.8219
ATOMIC_POSITIONS crystal
Sc 0.5000 0.5000 0.5000
Tl 0.0000 0.0000 0.5000
Tl 0.5000 0.0000 0.0000
Hg 0.0000 0.5000 0.0000
Al 0.0000 0.0000 0.0000
```

Results
* formation energy from the elements: 0.40 eV/atom
* crystal system: tetragonal
* total energy: -13.125 eV/cell
* calculated density: 7.96 g/cm3

=====

Here is AcHoTmCd after structural relaxation from Alexandria. Energies are from GGA-PBE. Values from VASP.

Quantum ESPRESSO input file:
```
&SYSTEM
  ibrav = 0, nat = 4, ntyp = 4
/
ATOMIC_SPECIES
Ac 227.00 Ac.upf
Tm 168.93 Tm.upf
Ho 164.93 Ho.upf
Cd 112.41 Cd.upf
CELL_PARAMETERS angstrom
-4.8657 1.6223 -2.3210
-1.8161 -2.4494 -4.7324
-4.4651 -3.4260 0.1382
ATOMIC_POSITIONS crystal
Ac 0.5000 0.5000 0.5000
Tm 0.7500 0.7500 0.7500
Ho 0.0000 0.0000 0.0000
Cd 0.2500 0.2500 0.2500
```

Results
* formation energy from the elements: 0.00 eV/atom
* crystal system: cubic
* total energy: -14.064 eV/cell
* calculated density: 8.86 g/cm3